Run a
# Mn3ZnRh

Crystalline Mn3ZnRh at its relaxed geometry (GGA-PBE, Alexandria via LeMat-Bulk).

a = 4.215 Å, b = 4.215 Å, c = 4.215 Å
α = 90.00°, β = 90.00°, γ = 90.00°
Each line ends with the local moment (μB).
Positions (direct):
Mn1 0.000 0.500 0.000  -0.23
Mn2 0.500 0.000 0.000  -0.08
Mn3 0.000 0.000 0.500  -0.23
Rh1 0.500 0.500 0.500  0.28
Zn1 0.000 0.000 0.000  0.00



Run b
# Mn3ZnRh

Crystalline Mn3ZnRh at its relaxed geometry (GGA-PBE, Alexandria via LeMat-Bulk).

a = 4.804 Å, b = 4.804 Å, c = 4.804 Å
α = 90.00°, β = 90.00°, γ = 90.00°
Each line ends with the local moment (μB).
Positions (direct):
Zn1 0.500 0.500 0.500  -0.02
Rh1 0.000 0.000 0.000  0.57
Mn1 0.000 0.500 0.000  4.02
Mn2 0.000 0.000 0.500  4.03
Mn3 0.500 0.000 0.000  4.09



Least stable of them? run a.



Run a
# Zr3MnRh

Crystalline Zr3MnRh at its relaxed geometry (GGA-PBE, Alexandria via LeMat-Bulk).

a = 4.963 Å, b = 4.963 Å, c = 4.963 Å
α = 90.00°, β = 90.00°, γ = 90.00°
Each line ends with the local moment (μB).
Positions (direct):
Mn1 0.500 0.500 0.500  0.09
Zr1 0.500 0.000 0.000  0.14
Zr2 0.000 0.500 0.000  0.11
Zr3 0.000 0.000 0.500  0.04
Rh1 0.000 0.000 0.000  0.01



Run b
# Zr3MnRh

Crystalline Zr3MnRh at its relaxed geometry (GGA-PBE, Alexandria via LeMat-Bulk).

a = 4.714 Å, b = 4.714 Å, c = 4.714 Å
α = 90.00°, β = 90.00°, γ = 90.00°
Positions (direct):
Zr1 0.000 0.000 0.500
Zr2 0.500 0.000 0.000
Zr3 0.000 0.500 0.000
Mn1 0.000 0.000 0.000
Rh1 0.500 0.500 0.500



Least stable of them? run a.